Here is KTcTeOs2 after structural relaxation from the Alexandria database. Energies are from PBE-GGA.

Unit cell a=4.804 b=5.333 c=4.804 alpha=90.00 beta=90.00 gamma=90.00
Each line ends with the local moment (μB).
Fractional positions:
1 K 0.500 0.500 0.500  0.00
2 Te 0.000 0.500 0.000  0.05
3 Os 0.000 0.000 0.500  0.71
4 Os 0.500 0.000 0.000  0.54
5 Tc 0.000 0.000 0.000  -0.08

- Space group: P4/mmm, No. 123
- E_form (uncorrected): 1.46 eV/atom